Record 1
A relaxed ZnCd2 crystal. Source: Alexandria, functional PBE-GGA.

Values from the calculation:
ΔH_f (0 K) = 76 meV per atom
Crystal system = trigonal
Symmetry = R-3m
N(E_F) = 0.408 states/eV per atom

CIF file:
```
data_ZnCd2
_cell_length_a 4.651
_cell_length_b 4.651
_cell_length_c 10.745
_cell_angle_alpha 90.00
_cell_angle_beta 90.00
_cell_angle_gamma 120.00
_space_group_name_H-M_alt 'P 1'
_space_group_IT_number 1
loop_
_space_group_symop_operation_xyz
'x,y,z'
loop_
_atom_site_label
_atom_site_type_symbol
_atom_site_fract_x
_atom_site_fract_y
_atom_site_fract_z
Zn1 Zn 0.000 0.000 0.000
Zn2 Zn 0.333 0.667 0.667
Zn3 Zn 0.667 0.333 0.333
Cd1 Cd 0.000 0.000 0.258
Cd2 Cd 0.000 0.000 0.742
Cd3 Cd 0.333 0.667 0.408
Cd4 Cd 0.333 0.667 0.925
Cd5 Cd 0.667 0.333 0.075
Cd6 Cd 0.667 0.333 0.592
```



Record 2
A relaxed ZnCd2 crystal. Source: Alexandria, functional PBE-GGA.

Values from the calculation:
ΔH_f (0 K) = 105 meV per atom
Crystal system = trigonal
Symmetry = P-3m1
N(E_F) = 0.285 states/eV per atom

CIF file:
```
data_ZnCd2
_cell_length_a 4.990
_cell_length_b 4.990
_cell_length_c 2.905
_cell_angle_alpha 90.00
_cell_angle_beta 90.00
_cell_angle_gamma 120.00
_space_group_name_H-M_alt 'P 1'
_space_group_IT_number 1
loop_
_space_group_symop_operation_xyz
'x,y,z'
loop_
_atom_site_label
_atom_site_type_symbol
_atom_site_fract_x
_atom_site_fract_y
_atom_site_fract_z
Zn1 Zn 0.000 0.000 0.000
Cd1 Cd 0.333 0.667 0.262
Cd2 Cd 0.667 0.333 0.738
```



Record 3
A relaxed Zn3Cd crystal. Source: Alexandria, functional PBE-GGA.

Values from the calculation:
ΔH_f (0 K) = 74 meV per atom
Crystal system = monoclinic
Symmetry = P2/m
N(E_F) = 0.149 states/eV per atom

CIF file:
```
data_Zn3Cd
_cell_length_a 3.001
_cell_length_b 4.868
_cell_length_c 4.814
_cell_angle_alpha 90.00
_cell_angle_beta 94.42
_cell_angle_gamma 90.00
_space_group_name_H-M_alt 'P 1'
_space_group_IT_number 1
loop_
_space_group_symop_operation_xyz
'x,y,z'
loop_
_atom_site_label
_atom_site_type_symbol
_atom_site_fract_x
_atom_site_fract_y
_atom_site_fract_z
Zn1 Zn 0.000 0.000 0.000
Zn2 Zn 0.244 0.500 0.239
Zn3 Zn 0.756 0.500 0.761
Cd1 Cd 0.500 0.000 0.500
```



Record 4
A relaxed ZnCd2 crystal. Source: Alexandria, functional PBE-GGA.

Values from the calculation:
ΔH_f (0 K) = 69 meV per atom
Crystal system = orthorhombic
Symmetry = Pnma
N(E_F) = 0.312 states/eV per atom

CIF file:
```
data_ZnCd2
_cell_length_a 6.306
_cell_length_b 4.571
_cell_length_c 8.611
_cell_angle_alpha 90.00
_cell_angle_beta 90.00
_cell_angle_gamma 90.00
_space_group_name_H-M_alt 'P 1'
_space_group_IT_number 1
loop_
_space_group_symop_operation_xyz
'x,y,z'
loop_
_atom_site_label
_atom_site_type_symbol
_atom_site_fract_x
_atom_site_fract_y
_atom_site_fract_z
Zn1 Zn 0.233 0.250 0.163
Zn2 Zn 0.267 0.750 0.663
Zn3 Zn 0.733 0.250 0.337
Zn4 Zn 0.767 0.750 0.837
Cd1 Cd 0.091 0.250 0.834
Cd2 Cd 0.164 0.250 0.481
Cd3 Cd 0.336 0.750 0.981
Cd4 Cd 0.409 0.750 0.334
Cd5 Cd 0.591 0.250 0.666
Cd6 Cd 0.664 0.250 0.019
Cd7 Cd 0.836 0.750 0.519
Cd8 Cd 0.909 0.750 0.166
```